[1]
! SrFeAs2 PBE optimized geometry; values from VASP
&SYSTEM
  ibrav = 0, nat = 4, ntyp = 3
/
ATOMIC_SPECIES
Fe 55.84 Fe.upf
As 74.92 As.upf
Sr 87.62 Sr.upf
ATOMIC_POSITIONS crystal
Fe 0.452 0.452 0.683
As 0.801 0.801 0.702
As 0.018 0.018 0.869
Sr 0.229 0.229 0.247
CELL_PARAMETERS angstrom
5.545 -0.151 -0.027
4.247 3.568 -0.027
1.368 0.477 4.834
! - V: 24.7 Å³/atom
! - SG: Cm (8)
! - ΔH_f (0 K): -0.9 eV/f.u.
! - DFT total energy: -5.10 eV per atom


[2]
! K2BiAuO4 PBE optimized geometry; values from VASP
&SYSTEM
  ibrav = 0, nat = 8, ntyp = 4
/
ATOMIC_SPECIES
O 16.00 O.upf
K 39.10 K.upf
Bi 208.98 Bi.upf
Au 196.97 Au.upf
ATOMIC_POSITIONS crystal
O 0.880 0.614 0.182
O 0.120 0.301 0.734
O 0.568 0.266 0.386
O 0.432 0.818 0.699
K 0.500 0.750 0.250
K 0.000 0.000 0.000
Bi 0.500 0.250 0.750
Au 0.000 0.500 0.500
CELL_PARAMETERS angstrom
5.752 0.149 0.229
-2.316 5.267 -0.229
-2.316 -2.329 4.730
! - Uncorrected formation energy: -0.960 eV per atom
! - V: 18.2 Å³/atom
! - SG: I-4 (82)
! - DFT total energy: -4.61 eV per atom


[3]
! MnTc2Br2 PBE optimized geometry; values from VASP
&SYSTEM
  ibrav = 0, nat = 5, ntyp = 3
/
ATOMIC_SPECIES
Mn 54.94 Mn.upf
Br 79.90 Br.upf
Tc 98.00 Tc.upf
ATOMIC_POSITIONS crystal
Mn 0.000 0.000 0.000
Br 0.368 0.368 0.263
Br 0.632 0.632 0.737
Tc 0.750 0.250 0.500
Tc 0.250 0.750 0.500
CELL_PARAMETERS angstrom
-3.309 -2.209 -1.434
2.362 -3.508 -0.046
-1.935 -3.908 4.250
! - Uncorrected formation energy: 1.489 eV per atom
! - V: 19.0 Å³/atom
! - SG: I4/mmm (139)
! - DFT total energy: -5.16 eV per atom


Among the records above, which one has the lowest V?
K2BiAuO4


Which value of V does entry 1 give?
24.7 Å³/atom


Look up the DFT total energy of the second one.
-4.61 eV per atom


Look up the DFT total energy of the first one.
-5.10 eV per atom